[1]
Computed, not measured: a relaxed Ag2MoH crystal at the PBE level of DFT.

Properties
excess energy over the best structure of this formula in the dataset	0	meV/atom

```
8
Lattice="-1.1387 -2.5537 5.0165 5.5697 -1.2523 0.6268 2.7158 1.1589 4.4939" Properties=species:S:1:pos:R:3 pbc="T T T"
H 2.2155 -1.9030 2.8217
H 5.2505 -0.9982 3.9712
Mo 0.0000 0.0000 0.0000
Mo 1.8963 -1.6489 6.1660
Ag 0.8208 -1.1101 3.6443
Ag 3.8604 -1.1649 2.8352
Ag 4.4678 -0.7310 5.5732
Ag 5.1447 -2.2880 8.2217
```



[2]
Computed, not measured: a relaxed Nb2AgMoH crystal at the PBE level of DFT.

Properties
total DFT energy (no corrections)	-7.3046	eV per atom

```
5
Lattice="-3.4108 -0.0281 -2.5420 -1.9008 -2.7963 2.5815 -1.5662 2.9743 2.0686" Properties=species:S:1:pos:R:3 pbc="T T T"
H 0.0000 0.0000 0.0000
Mo -0.7831 1.4871 1.0343
Nb -0.9504 -1.3981 1.2907
Nb -1.7054 -0.0141 -1.2710
Ag -3.4389 0.0749 1.0540
```



[3]
Computed, not measured: a relaxed NiAgMo2H crystal at the PBE level of DFT.

Properties
total DFT energy (no corrections)	-4.8522	eV per atom

```
5
Lattice="4.5193 0.0000 0.0000 0.0000 4.8189 0.0000 0.0000 0.0000 4.5193" Properties=species:S:1:pos:R:3 pbc="T T T"
Ni 0.0000 0.0000 0.0000
Mo 0.0000 0.0000 2.2597
Mo 2.2597 0.0000 0.0000
Ag 0.0000 2.4095 0.0000
H 2.2597 2.4095 2.2597
```



[4]
Computed, not measured: a relaxed AgMoP2H crystal at the PBE level of DFT.

Properties
total DFT energy (no corrections)	-5.2202	eV per atom

```
5
Lattice="4.6886 0.0000 0.0000 0.0000 3.6597 0.0000 0.0000 0.0000 4.6886" Properties=species:S:1:pos:R:3 pbc="T T T"
P 0.0000 0.0000 2.3443
P 2.3443 0.0000 0.0000
Mo 0.0000 0.0000 0.0000
Ag 2.3443 1.8299 2.3443
H 0.0000 1.8299 0.0000
```



[5]
Computed, not measured: a relaxed AgMoHPt2 crystal at the PBE level of DFT.

Properties
total DFT energy (no corrections)	-3.5565	eV per atom

```
5
Lattice="4.9464 0.0000 0.0000 0.0000 5.0747 0.0000 0.0000 0.0000 4.9464" Properties=species:S:1:pos:R:3 pbc="T T T"
H 2.4732 2.5374 2.4732
Mo 0.0000 2.5374 0.0000
Ag 0.0000 0.0000 0.0000
Pt 0.0000 0.0000 2.4732
Pt 2.4732 0.0000 0.0000
```



[6]
Computed, not measured: a relaxed Ag2MoHRu crystal at the PBE level of DFT.

Properties
total DFT energy (no corrections)	-4.0281	eV per atom

```
5
Lattice="-4.0972 -0.9266 -2.9840 2.7355 -1.0447 -3.4316 0.0138 -4.9262 1.5108" Properties=species:S:1:pos:R:3 pbc="T T T"
Ru 0.0000 0.0000 0.0000
Mo 1.3677 -0.5224 -1.7158
Ag 0.0069 -2.4631 0.7554
Ag -2.0486 -0.4633 -1.4920
H -0.6740 -3.4488 -2.4524
```



[7]
Computed, not measured: a relaxed AgMoH2S crystal at the PBE level of DFT.

Properties
total DFT energy (no corrections)	-4.2096	eV per atom

```
5
Lattice="3.6180 0.0000 0.0000 0.0000 5.8243 0.0000 0.0000 0.0000 3.6180" Properties=species:S:1:pos:R:3 pbc="T T T"
H 0.0000 0.0000 1.8090
H 1.8090 0.0000 0.0000
Mo 0.0000 0.0000 0.0000
S 1.8090 2.9122 1.8090
Ag 0.0000 2.9122 0.0000
```



[8]
Computed, not measured: a relaxed AgSbMoH2 crystal at the PBE level of DFT.

Properties
total DFT energy (no corrections)	-3.9440	eV per atom

```
5
Lattice="-2.5200 2.5629 -1.5472 -3.7187 -4.2094 -0.9158 -1.5568 0.6055 3.5387" Properties=species:S:1:pos:R:3 pbc="T T T"
Sb 0.0000 0.0000 0.0000
Mo -1.8593 -2.1047 -0.4579
Ag -3.8978 -0.5205 0.5379
H -0.7784 0.3027 1.7693
H -1.2600 1.2814 -0.7736
```